Ba3MnSb2O9: optimized geometry, PBE+U.

Cell: 5.894 5.894 7.248 Å, 90.00 90.00 120.00°
Sites, in units of the cell vectors:
Ba: 0.000 0.000 0.000
Ba: 0.333 0.667 0.658
Ba: 0.667 0.333 0.342
Mn: 0.000 0.000 0.500
Sb: 0.333 0.667 0.171
Sb: 0.667 0.333 0.829
O: 0.000 0.500 0.000
O: 0.172 0.344 0.321
O: 0.172 0.828 0.321
O: 0.344 0.172 0.679
O: 0.500 0.000 0.000
O: 0.500 0.500 0.000
O: 0.656 0.828 0.321
O: 0.828 0.172 0.679
O: 0.828 0.656 0.679

Results
M_tot, μB/f.u.: 5.0
Excess energy over the best structure of this formula in the dataset, eV per formula unit: 0.25
SG: P-3m1
Final energy, eV/cell: -98.014
D(E_F), states/eV/f.u.: 1.42